# 1
# La3Mg3TlPd2

A geometry-optimized La3Mg3TlPd2 structure (PBE-GGA, OQMD via LeMat-Bulk).

The structure in extended XYZ format:
```
9
Lattice="7.650 0.000 0.000 -3.825 6.625 0.000 0.000 0.000 4.490" Properties=species:S:1:pos:R:3 pbc="T T T"
Mg -2.870 4.972 2.245
Mg 5.741 0.000 2.245
Mg 0.955 1.653 2.245
La -1.637 2.836 0.000
La 2.188 3.789 0.000
La 3.275 0.000 0.000
Pd 3.825 2.208 2.245
Pd 0.000 4.417 2.245
Tl 0.000 0.000 0.000
```

**E_tot**: -4.096 eV/atom
**Symmetry**: P-62m, No. 189


# 2
# LaMgTlPd

A geometry-optimized LaMgTlPd structure (PBE-GGA, OQMD via LeMat-Bulk).

The structure in extended XYZ format:
```
4
Lattice="0.000 3.600 3.600 3.600 0.000 3.600 3.600 3.600 0.000" Properties=species:S:1:pos:R:3 pbc="T T T"
Mg 5.399 5.399 5.399
Tl 1.800 1.800 1.800
La 3.600 3.600 3.600
Pd 0.000 0.000 0.000
```

**ΔE to the lowest computed polymorph**: 47 kJ/mol of formula units
**Symmetry**: F-43m, No. 216


M_tot, respectively: 0.010 0.000 μB per cell.
V, respectively: 25.288 23.320 Å³ per atom.